Entry 1:
This record from Alexandria describes an optimized crystal structure of Pr6SeO8. The functional is PBE.

Geometry as POSCAR:
```
Pr6SeO8
1.0
-1.921 6.305 1.987
-4.659 0.759 5.011
2.590 2.413 6.771
Pr O Se
6 8 1
direct
0.924 0.253 0.267
0.556 0.924 0.267
0.444 0.076 0.733
0.253 0.556 0.267
0.747 0.444 0.733
0.076 0.747 0.733
0.319 0.319 0.043
0.441 0.794 0.636
0.559 0.206 0.364
0.870 0.559 0.364
0.681 0.681 0.957
0.130 0.441 0.636
0.206 0.870 0.364
0.794 0.130 0.636
0.000 0.000 0.000
```

Computed properties:
Calculated volume   268 Å³ per cell
Size of the total moment   0.00 μB/f.u.
Uncorrected formation energy   -3.113 eV/atom
Symmetry   R-3 (148)



Entry 2:
This record from Alexandria describes an optimized crystal structure of Pr4Se3O4. The functional is PBE.

Geometry as POSCAR:
```
Pr4Se3O4
1.0
-2.031 0.844 -3.590
0.386 -7.369 -1.952
-4.928 2.167 5.766
Se O Pr
3 4 4
direct
0.905 0.905 0.811
0.000 0.500 0.000
0.095 0.095 0.189
0.675 0.488 0.351
0.325 0.137 0.649
0.675 0.863 0.351
0.325 0.512 0.649
0.500 0.754 0.000
0.776 0.276 0.551
0.224 0.724 0.449
0.500 0.246 0.000
```

Computed properties:
Calculated volume   211 Å³ per cell
Size of the total moment   0.00 μB/f.u.
Uncorrected formation energy   -2.265 eV/atom
Distance to the lowest polymorph of the same formula   0.4684 eV/atom
Symmetry   Immm (71)



Entry 3:
This record from Alexandria describes an optimized crystal structure of Pr4Se2O3. The functional is PBE.

Geometry as POSCAR:
```
Pr4Se2O3
1.0
6.764 0.000 0.000
0.000 7.055 0.000
-3.382 0.000 7.508
O Pr Se
6 8 4
direct
0.538 0.750 0.577
0.038 0.750 0.577
0.962 0.250 0.423
0.500 0.500 0.000
0.000 0.000 0.000
0.462 0.250 0.423
0.295 0.250 0.090
0.211 0.942 0.422
0.789 0.058 0.578
0.795 0.250 0.090
0.289 0.442 0.578
0.711 0.558 0.422
0.705 0.750 0.910
0.205 0.750 0.910
0.106 0.587 0.211
0.894 0.413 0.789
0.606 0.913 0.211
0.394 0.087 0.789
```

Computed properties:
Calculated volume   358 Å³ per cell
Size of the total moment   0.00 μB/f.u.
Uncorrected formation energy   -2.390 eV/atom
Symmetry   Cmce (64)



Entry 4:
This record from Alexandria describes an optimized crystal structure of Pr4Si2Se3O7. The functional is PBE.

Geometry as POSCAR:
```
Pr4Si2Se3O7
1.0
11.353 -0.001 0.001
-4.731 10.321 -0.001
4.731 4.249 9.405
Se O Si Pr
12 28 8 16
direct
0.500 0.250 0.250
0.604 0.479 0.625
0.000 0.000 0.000
0.500 0.750 0.750
0.104 0.479 0.125
0.896 0.771 0.625
0.104 0.625 0.771
0.000 0.500 0.500
0.396 0.771 0.125
0.396 0.625 0.479
0.896 0.125 0.479
0.604 0.125 0.771
0.258 0.974 0.049
0.977 0.693 0.049
0.275 0.320 0.955
0.023 0.049 0.693
0.725 0.770 0.955
0.242 0.966 0.557
0.758 0.201 0.276
0.775 0.480 0.295
0.000 0.735 0.265
0.500 0.985 0.515
0.742 0.693 0.284
0.725 0.955 0.320
0.742 0.049 0.974
0.242 0.276 0.201
0.023 0.974 0.284
0.758 0.557 0.966
0.225 0.295 0.480
0.977 0.284 0.974
0.258 0.284 0.693
0.477 0.276 0.966
0.500 0.515 0.985
0.225 0.930 0.295
0.775 0.295 0.930
0.477 0.201 0.557
0.000 0.265 0.735
0.523 0.966 0.276
0.275 0.955 0.770
0.523 0.557 0.201
0.124 0.905 0.219
0.876 0.219 0.905
0.376 0.345 0.031
0.124 0.219 0.657
0.876 0.657 0.219
0.624 0.593 0.031
0.376 0.031 0.593
0.624 0.031 0.345
0.260 0.791 0.949
0.000 0.172 0.172
0.655 0.828 0.172
0.240 0.459 0.301
0.760 0.301 0.459
0.345 0.172 0.828
0.500 0.078 0.078
0.260 0.469 0.791
0.760 0.459 0.781
0.845 0.422 0.078
0.155 0.078 0.422
0.000 0.828 0.828
0.500 0.422 0.422
0.240 0.781 0.459
0.740 0.949 0.791
0.740 0.791 0.469
```

Computed properties:
Calculated volume   1102 Å³ per cell
Size of the total moment   0.00 μB/f.u.
Uncorrected formation energy   -2.782 eV/atom
Symmetry   I4_1/amd (141)